La2CoNi3Sb4 | PBE-GGA | relaxed

Computed properties:
- ΔE_f (raw) (kJ/mol of formula units) = -628
- M_tot (μB per formula unit) = 1.03
- volume (Å³/cell) = 205

Lattice parameters (Å, degrees): 4.507 4.507 10.102 90.00 90.00 90.00
Space group P-4m2 (No. 115)
Unique sites:
La 0.000 0.500 0.240 (multiplicity 2)
Co 0.500 0.500 0.000 (multiplicity 1)
Ni 0.000 0.000 0.000 (multiplicity 1)
Ni 0.000 0.500 0.622 (multiplicity 2)
Sb 0.000 0.000 0.500 (multiplicity 1)
Sb 0.000 0.500 0.873 (multiplicity 2)
Sb 0.500 0.500 0.500 (multiplicity 1)